1.
Material: Ta5Re4Tc
Method: DFT, PBE
State: optimized geometry

a = 3.196 Å, b = 3.196 Å, c = 15.986 Å
α = 90.00°, β = 90.00°, γ = 90.00°
Space group P4/mmm (No. 123)
Asymmetric unit:
Ta1 0.000 0.000 0.000
Ta2 0.000 0.000 0.200
Ta3 0.000 0.000 0.400
Re1 0.500 0.500 0.100
Re2 0.500 0.500 0.301
Tc1 0.500 0.500 0.500

**Formation energy from the elements**: -4.32 eV per formula unit
**Magnetic moment**: 0.00 μB/cell
**Total DFT energy (no corrections)**: -12.36 eV per atom


2.
Material: FeCo2Pd
Method: DFT, PBE
State: optimized geometry

a = 5.840 Å, b = 5.840 Å, c = 5.840 Å
α = 90.00°, β = 90.00°, γ = 90.00°
Space group F-43m (No. 216)
Asymmetric unit:
Fe1 0.000 0.000 0.000
Co1 0.000 0.000 0.500
Co2 0.250 0.250 0.250
Pd1 0.250 0.250 0.750

**Formation energy from the elements**: 0.55 eV per formula unit
**Magnetic moment**: 26.56 μB/cell
**Total DFT energy (no corrections)**: -6.79 eV per atom


3.
Material: KSmSeO
Method: DFT, PBE
State: optimized geometry

a = 7.816 Å, b = 7.643 Å, c = 6.689 Å
α = 90.00°, β = 102.88°, γ = 90.00°
Space group P2_1/c (No. 14)
Asymmetric unit:
K1 0.091 0.234 0.004
Sm1 0.469 0.626 0.274
Se1 0.236 0.586 0.846
O1 0.404 0.150 0.883

**Magnetic moment**: 0.00 μB/cell
**Total DFT energy (no corrections)**: -5.79 eV per atom


4.
Material: CsNi3S5
Method: DFT, PBE
State: optimized geometry

a = 5.4610 Å, b = 5.4610 Å, c = 7.1877 Å
α = 90.00°, β = 90.00°, γ = 120.00°
Space group P6/mmm (No. 191)
Asymmetric unit:
Cs1 0.0000 0.0000 0.0000
Ni1 0.0000 0.5000 0.5000
S1 0.0000 0.0000 0.5000
S2 0.3333 0.6667 0.2853

**Magnetic moment**: 0.01 μB/cell
**Total DFT energy (no corrections)**: -4.65 eV per atom


5.
Material: Mg3Sc2ZnAu2
Method: DFT, PBE
State: optimized geometry

a = 4.741 Å, b = 4.741 Å, c = 6.738 Å
α = 90.00°, β = 90.00°, γ = 90.00°
Space group P-4m2 (No. 115)
Asymmetric unit:
Mg1 0.000 0.000 0.000
Mg2 0.000 0.500 0.743
Sc1 0.000 0.500 0.263
Zn1 0.500 0.500 0.500
Au1 0.000 0.000 0.500
Au2 0.500 0.500 0.000

**Magnetic moment**: 0.01 μB/cell
**Total DFT energy (no corrections)**: -3.63 eV per atom


6.
Material: TcHgB4
Method: DFT, PBE
State: optimized geometry

a = 3.070 Å, b = 5.224 Å, c = 7.548 Å
α = 90.00°, β = 90.00°, γ = 90.00°
Space group Immm (No. 71)
Asymmetric unit:
Tc1 0.000 0.000 0.000
Hg1 0.000 0.000 0.500
B1 0.000 0.337 0.258

**Magnetic moment**: 0.00 μB/cell
**Total DFT energy (no corrections)**: -5.65 eV per atom


7.
Material: TmAu
Method: DFT, PBE
State: optimized geometry

a = 3.5182 Å, b = 3.5182 Å, c = 4.2372 Å
α = 90.00°, β = 90.00°, γ = 120.00°
Space group P-6m2 (No. 187)
Asymmetric unit:
Tm1 0.0000 0.0000 0.0000
Au1 0.3333 0.6667 0.5000

**Formation energy from the elements**: -1.31 eV per formula unit
**Magnetic moment**: 0.00 μB/cell
**Total DFT energy (no corrections)**: -4.53 eV per atom


8.
Material: DyTmNi4
Method: DFT, PBE
State: optimized geometry

a = 7.109 Å, b = 7.109 Å, c = 7.109 Å
α = 90.00°, β = 90.00°, γ = 90.00°
Space group F-43m (No. 216)
Asymmetric unit:
Dy1 0.000 0.000 0.000
Tm1 0.250 0.250 0.250
Ni1 0.125 0.125 0.625

**Formation energy from the elements**: -2.85 eV per formula unit
**Magnetic moment**: 0.05 μB/cell
**Total DFT energy (no corrections)**: -5.70 eV per atom


Among the records above, which one has the highest magnetic moment? FeCo2Pd